A relaxed structure of PmCr2HgO8, computed with GGA+U.

abc: 6.1446 6.1446 6.1446
angles: 105.62 105.62 117.48
Closest atoms and distances in Å follow each position.
Element x y z (fractional)
1 Pm 0.0000 0.0000 0.0000  8 O 2.40-2.50
2 Cr 0.7500 0.2500 0.5000  4 O 1.72
3 Cr 0.5000 0.5000 0.0000  4 O 1.67
4 Hg 0.2500 0.7500 0.5000  8 O 2.48-2.56
5 O 0.4022 0.0877 0.3145  1 Cr 1.72
6 O 0.3353 0.5097 0.1743  1 Cr 1.67
7 O 0.3353 0.1610 0.8257  1 Cr 1.67
8 O 0.7732 0.0877 0.6855  1 Cr 1.72
9 O 0.8390 0.6647 0.1743  1 Cr 1.67
10 O 0.9123 0.2268 0.3145  1 Cr 1.72
11 O 0.9123 0.5978 0.6855  1 Cr 1.72
12 O 0.4903 0.6647 0.8257  1 Cr 1.67

M_tot	1.00	μB/cell
density	5.451	g cm⁻³
VASP energy	-6.533	eV/atom